Computed, not measured: Pa2RePdN6 after structural relaxation at the PBE-GGA level of DFT.

Electronic total energy = -90.5 eV for the cell shown
D(E_F) = 0.628 states/eV per atom
Volume = 140.06 Å³/f.u.
Formation energy from raw total energies = -3.887 eV per formula unit
Space group = No. 99

Cell lengths 5.3932, 5.3932, 4.8153 Å; angles 90.00, 90.00, 90.00 degrees
Closest atoms and distances in Å follow each position.
Positions (direct):
Pa: 0.0000 0.5000 0.0000  4 N 2.26
Pa: 0.5000 0.0000 0.0000  4 N 2.26
Re: 0.0000 0.0000 0.5915  5 N 1.82-1.95
Pd: 0.5000 0.5000 0.6182  5 N 2.10-2.20
N: 0.0000 0.0000 0.2131  1 Re 1.82
N: 0.2365 0.2365 0.7471  1 Re 1.95, 1 Pd 2.10
N: 0.2365 0.7635 0.7471  1 Re 1.95, 1 Pd 2.10
N: 0.5000 0.5000 0.1621  1 Pd 2.20
N: 0.7635 0.2365 0.7471  1 Re 1.95, 1 Pd 2.10
N: 0.7635 0.7635 0.7471  1 Re 1.95, 1 Pd 2.10


Computed, not measured: YFe2Se after structural relaxation at the PBE-GGA level of DFT.

Electronic total energy = -53.2 eV for the cell shown
D(E_F) = 1.230 states/eV per atom
Volume = 76.63 Å³/f.u.
Formation energy from raw total energies = 0.266 eV per formula unit
Space group = No. 122

Cell lengths 5.9687, 5.9687, 5.9687 Å; angles 101.89, 101.89, 126.01 degrees
Closest atoms and distances in Å follow each position.
Positions (direct):
Y: 0.0000 0.0000 0.0000  2 Se 2.71
Y: 0.7500 0.2500 0.5000  2 Se 2.71
Fe: 0.1899 0.6250 0.0649  2 Se 2.44
Fe: 0.3750 0.4399 0.5649  2 Se 2.44
Fe: 0.5601 0.1250 0.9351  2 Se 2.44
Fe: 0.8750 0.8101 0.4351  2 Se 2.44
Se: 0.2500 0.7500 0.5000  4 Fe 2.44, 2 Y 2.71
Se: 0.5000 0.5000 0.0000  4 Fe 2.44, 2 Y 2.71


Computed, not measured: Nd4SmAg2 after structural relaxation at the PBE-GGA level of DFT.

Electronic total energy = -28.7 eV for the cell shown
D(E_F) = 1.326 states/eV per atom
Volume = 230.68 Å³/f.u.
Calculated formation energy = 0.108 eV/atom
Space group = No. 166

Cell lengths 9.2021, 9.2021, 9.2021 Å; angles 35.15, 35.15, 35.15 degrees
Closest atoms and distances in Å follow each position.
Positions (direct):
Nd: 0.1270 0.1270 0.1270  3 Sm 3.37, 4 Nd 3.63-3.74, 3 Ag 3.71
Nd: 0.2717 0.2717 0.2717  4 Ag 3.01-3.21
Nd: 0.7283 0.7283 0.7283  4 Ag 3.01-3.21
Nd: 0.8730 0.8730 0.8730  3 Sm 3.37, 4 Nd 3.63-3.74, 3 Ag 3.71
Sm: 0.5000 0.5000 0.5000  2 Ag 2.90
Ag: 0.3880 0.3880 0.3880  1 Sm 2.90, 4 Nd 3.01-3.21
Ag: 0.6120 0.6120 0.6120  1 Sm 2.90, 4 Nd 3.01-3.21


Computed, not measured: Y4Te2PdSe after structural relaxation at the PBE-GGA level of DFT.

Electronic total energy = -51.3 eV for the cell shown
D(E_F) = 0.645 states/eV per atom
Volume = 217.63 Å³/f.u.
Formation energy from raw total energies = -10.516 eV per formula unit
Space group = No. 10

Cell lengths 7.4202, 4.1537, 7.4578 Å; angles 90.00, 108.78, 90.00 degrees
Closest atoms and distances in Å follow each position.
Positions (direct):
Y: 0.2287 0.0000 0.2158  2 Pd 2.83, 1 Se 2.95, 1 Te 3.11
Y: 0.2558 0.5000 0.7746  2 Se 2.91, 1 Pd 2.91, 3 Te 3.10-3.14
Y: 0.7442 0.5000 0.2254  2 Se 2.91, 1 Pd 2.91, 3 Te 3.10-3.14
Y: 0.7713 0.0000 0.7842  2 Pd 2.83, 1 Se 2.95, 1 Te 3.11
Te: 0.0000 0.0000 0.5000  6 Y 3.10-3.11
Te: 0.5000 0.5000 0.5000  6 Y 3.14-3.18
Pd: 0.0000 0.5000 0.0000  6 Y 2.83-2.91
Se: 0.5000 0.0000 0.0000  6 Y 2.91-2.95